Entry 1:
A relaxed structure of Dy3ErIn3. Source: Alexandria via LeMat-Bulk, functional PBE.

Unit cell a=9.308 b=9.308 c=5.162 alpha=90.00 beta=90.00 gamma=120.00
Positions (direct):
Dy  0.004  0.235  0.250
Dy  0.231  0.996  0.250
Dy  0.235  0.231  0.750
Dy  0.765  0.769  0.250
Dy  0.769  0.004  0.750
Dy  0.996  0.765  0.750
Er  0.333  0.667  0.250
Er  0.667  0.333  0.750
In  0.072  0.456  0.750
In  0.383  0.928  0.750
In  0.456  0.383  0.250
In  0.544  0.617  0.750
In  0.617  0.072  0.250
In  0.928  0.544  0.250

Results
E: -4.118 eV/atom
excess energy over the best structure of this formula in the dataset: 0.000 eV per formula unit
formation energy from the elements: -320 meV per atom
density of states at the Fermi level: 5.32 states/eV/f.u.
magnetization: 0.00 μB per atom

---

Entry 2:
A relaxed structure of NaSnHg3. Source: Alexandria via LeMat-Bulk, functional PBE.

Unit cell a=5.236 b=5.285 c=9.505 alpha=73.97 beta=89.79 gamma=89.58
Positions (direct):
Na  0.250  0.149  0.202
Na  0.750  0.851  0.798
Sn  0.250  0.352  0.803
Sn  0.750  0.648  0.197
Hg  0.249  0.552  0.396
Hg  0.250  0.952  0.593
Hg  0.251  0.756  0.995
Hg  0.749  0.244  0.005
Hg  0.750  0.048  0.407
Hg  0.751  0.448  0.604

Results
E: -1.359 eV/atom
excess energy over the best structure of this formula in the dataset: 0.000 eV per formula unit
formation energy from the elements: -114 meV per atom
density of states at the Fermi level: 1.36 states/eV/f.u.
magnetization: 0.00 μB per atom

---

Entry 3:
A relaxed structure of Fe2CoHgN. Source: Alexandria via LeMat-Bulk, functional PBE.

Unit cell a=3.895 b=3.895 c=3.918 alpha=90.00 beta=90.00 gamma=90.00
Positions (direct):
Fe  0.000  0.500  0.000
Fe  0.500  0.000  0.000
Co  0.000  0.000  0.500
Hg  0.500  0.500  0.500
N  0.000  0.000  0.000

Results
E: -6.459 eV/atom
energy relative to the elements, uncorrected: 73 meV/atom
density of states at the Fermi level: 3.68 states/eV/f.u.
magnetization: 1.09 μB per atom

---

Entry 4:
A relaxed structure of La2Y8Th3. Source: Alexandria via LeMat-Bulk, functional PBE.

Unit cell a=7.443 b=7.443 c=8.727 alpha=105.66 beta=105.66 gamma=93.72
Positions (direct):
La  0.224  0.224  0.024
La  0.776  0.776  0.976
Y  0.079  0.599  0.319
Y  0.102  0.102  0.360
Y  0.401  0.921  0.681
Y  0.406  0.406  0.785
Y  0.594  0.594  0.215
Y  0.599  0.079  0.319
Y  0.898  0.898  0.640
Y  0.921  0.401  0.681
Th  0.229  0.771  0.000
Th  0.500  0.500  0.500
Th  0.771  0.229  0.000

Results
E: -6.191 eV/atom
formation energy from the elements: 257 meV per atom
density of states at the Fermi level: 21.45 states/eV/f.u.
magnetization: 0.00 μB per atom